DFT (SCAN) results for BeTe2Rh at its PBEsol-relaxed geometry.

Lattice parameters (Å, degrees): 7.5656 3.6517 6.1480 90.00 103.70 90.00
Last column: nearest neighbours and their distance in Å.
Space group Cm (No. 8)
Inequivalent atoms, fractional coordinates:
Be 0.0000 0.0000 0.0000 (multiplicity 2)  3 Rh 2.26-2.42, 1 Te 2.39
Te 0.1897 0.0000 0.7388 (multiplicity 2)  1 Be 2.39, 2 Rh 2.64
Te 0.4502 0.0000 0.2867 (multiplicity 2)  2 Be 2.63, 3 Rh 2.70-2.72
Rh 0.2158 0.5000 0.0555 (multiplicity 2)  3 Be 2.26-2.42

Output
* E: -227.78 eV for the cell shown
* density of states at the Fermi level: 0.409 states/eV/atom
* volume: 20.627 Å³ per atom
* ρ: 7388 kg/m³
* energy relative to the elements, uncorrected: -0.32 eV per atom